## SrVClO2 (GGA+U)

Data for a geometry-optimized SrVClO2 structure.

As for the space group: No. 11. The total magnetic moment comes out at 2.00 μB/f.u. For the calculated total energy, the calculation gives -6.41 eV per atom.

abc: 7.2424 4.2026 7.5839
angles: 90.00 118.16 90.00
Last column: nearest neighbours and their distance in Å.
Positions (direct):
Sr 0.0339 0.2500 0.2141  4 O 2.44-2.66
Sr 0.9661 0.7500 0.7859  4 O 2.44-2.66
V 0.4537 0.7500 0.3392  2 O 1.90
V 0.5463 0.2500 0.6608  2 O 1.90
Cl 0.2336 0.2500 0.7036  1 V 2.43
Cl 0.7664 0.7500 0.2964  1 V 2.43
O 0.1642 0.7500 0.1524  1 V 1.90
O 0.4501 0.2500 0.3801  3 V 1.90-2.13
O 0.5499 0.7500 0.6199  3 V 1.90-2.13
O 0.8358 0.2500 0.8476  1 V 1.90